# 1
Computed, not measured: a crystal of CrFe2Au relaxed with PBEsol at the SCAN level of DFT.

a = 4.5318 Å, b = 4.5318 Å, c = 4.5318 Å
α = 131.94°, β = 131.94°, γ = 70.32°
With the nearest neighbours (Å) after each atom.
Element x y z (fractional)
1 Cr 0.0000 0.0000 0.0000  8 Fe 2.61, 4 Au 2.61
2 Fe 0.5000 0.5000 0.0000  4 Cr 2.61, 4 Fe 2.61, 4 Au 2.61
3 Fe 0.7500 0.2500 0.5000  4 Au 2.61, 4 Cr 2.61, 4 Fe 2.61
4 Au 0.2500 0.7500 0.5000  8 Fe 2.61, 4 Cr 2.61

ΔE_f: -0.6 kJ per mole of atoms
theoretical density: 11.867 g/cm³
VASP energy: -30.9566 eV/atom

---

# 2
Computed, not measured: a crystal of CsLi3Zr relaxed with PBEsol at the SCAN level of DFT.

a = 5.8221 Å, b = 5.8221 Å, c = 5.8221 Å
α = 90.00°, β = 90.00°, γ = 90.00°
With the nearest neighbours (Å) after each atom.
Element x y z (fractional)
1 Cs 0.0000 0.0000 0.0000  12 Li 4.12
2 Li 0.0000 0.5000 0.5000  2 Zr 2.91
3 Li 0.5000 0.0000 0.5000  2 Zr 2.91
4 Li 0.5000 0.5000 0.0000  2 Zr 2.91
5 Zr 0.5000 0.5000 0.5000  6 Li 2.91

ΔE_f: 84.2 kJ per mole of atoms
theoretical density: 2.061 g/cm³
VASP energy: -14.2630 eV/atom

---

# 3
Computed, not measured: a crystal of LiMgAu2 relaxed with PBEsol at the SCAN level of DFT.

a = 4.4239 Å, b = 4.4239 Å, c = 3.2709 Å
α = 90.00°, β = 90.00°, γ = 90.00°
With the nearest neighbours (Å) after each atom.
Element x y z (fractional)
1 Li 0.0000 0.0000 0.0000  8 Au 2.75
2 Mg 0.5000 0.5000 0.0000  8 Au 2.75
3 Au 0.0000 0.5000 0.5000  4 Mg 2.75, 4 Li 2.75
4 Au 0.5000 0.0000 0.5000  4 Mg 2.75, 4 Li 2.75

ΔE_f: -66.8 kJ per mole of atoms
theoretical density: 11.029 g/cm³
VASP energy: -37.1116 eV/atom

---

Number 1: Fermi-level density of states 3.911 states/eV per cell. Number 2: Fermi-level density of states 6.221 states/eV per cell. Number 3: Fermi-level density of states 0.983 states/eV per cell.